i) A plane-wave DFT calculation with PBE was carried out for La6TbSc after structural relaxation.

a = 5.919 Å, b = 7.392 Å, c = 7.392 Å
α = 60.04°, β = 90.00°, γ = 90.00°
Fractional positions:
La  0.000  0.000  0.000
La  0.000  0.000  0.482
La  0.000  0.482  0.000
La  0.500  0.163  0.660
La  0.500  0.659  0.659
La  0.500  0.660  0.163
Tb  0.000  0.494  0.494
Sc  0.500  0.161  0.161

Values from the calculation:
- Calculated volume: 280.2 Å³/f.u.
- Magnetization: 0.00 μB/cell

---

ii) A plane-wave DFT calculation with PBE was carried out for La6TbSc after structural relaxation.

a = 5.155 Å, b = 5.155 Å, c = 10.315 Å
α = 90.00°, β = 90.00°, γ = 90.00°
Fractional positions:
La  0.000  0.000  0.000
La  0.000  0.000  0.500
La  0.000  0.500  0.246
La  0.000  0.500  0.754
La  0.500  0.000  0.246
La  0.500  0.000  0.754
Tb  0.500  0.500  0.500
Sc  0.500  0.500  0.000

Values from the calculation:
- Calculated volume: 274.1 Å³/f.u.
- Magnetization: 0.00 μB/cell

---

Which of them is the least stable? Correct choice: i).

---

i) A plane-wave DFT calculation with PBE was carried out for LaTbSc4 after structural relaxation.

a = 6.183 Å, b = 6.773 Å, c = 9.085 Å
α = 90.00°, β = 118.07°, γ = 90.00°
Fractional positions:
La  0.000  0.069  0.250
La  0.000  0.931  0.750
Tb  0.500  0.114  0.750
Tb  0.500  0.886  0.250
Sc  0.071  0.299  0.961
Sc  0.071  0.701  0.461
Sc  0.328  0.416  0.336
Sc  0.328  0.584  0.836
Sc  0.672  0.416  0.164
Sc  0.672  0.584  0.664
Sc  0.929  0.299  0.539
Sc  0.929  0.701  0.039

Values from the calculation:
- Calculated volume: 167.8 Å³/f.u.
- Magnetization: 0.00 μB/cell

---

ii) A plane-wave DFT calculation with PBE was carried out for LaTbSc4 after structural relaxation.

a = 9.895 Å, b = 9.895 Å, c = 5.385 Å
α = 90.00°, β = 90.00°, γ = 141.13°
Fractional positions:
La  0.123  0.877  0.750
La  0.877  0.123  0.250
Tb  0.373  0.627  0.250
Tb  0.627  0.373  0.750
Sc  0.043  0.460  0.750
Sc  0.212  0.296  0.750
Sc  0.296  0.212  0.250
Sc  0.460  0.043  0.250
Sc  0.540  0.957  0.750
Sc  0.704  0.788  0.750
Sc  0.788  0.704  0.250
Sc  0.957  0.540  0.250

Values from the calculation:
- Calculated volume: 165.4 Å³/f.u.
- Magnetization: 0.00 μB/cell

---

Which of them is the least stable? Correct choice: i).

---

i) A plane-wave DFT calculation with PBE was carried out for La4TbSc after structural relaxation.

a = 6.472 Å, b = 6.472 Å, c = 7.068 Å
α = 118.35°, β = 118.35°, γ = 54.31°
Fractional positions:
La  0.153  0.153  0.000
La  0.189  0.189  0.550
La  0.811  0.811  0.450
La  0.847  0.847  0.000
Tb  0.500  0.500  0.500
Sc  0.500  0.500  0.000

Values from the calculation:
- Calculated volume: 203.3 Å³/f.u.
- Magnetization: 0.00 μB/cell

---

ii) A plane-wave DFT calculation with PBE was carried out for La4TbSc after structural relaxation.

a = 7.483 Å, b = 7.483 Å, c = 7.483 Å
α = 46.82°, β = 46.82°, γ = 46.82°
Fractional positions:
La  0.161  0.161  0.161
La  0.328  0.328  0.328
La  0.672  0.672  0.672
La  0.839  0.839  0.839
Tb  0.500  0.500  0.500
Sc  0.000  0.000  0.000

Values from the calculation:
- Calculated volume: 203.6 Å³/f.u.
- Magnetization: 0.00 μB/cell

---

Which of them is the least stable? Correct choice: ii).

---

i) A plane-wave DFT calculation with PBE was carried out for LaTbThSc after structural relaxation.

a = 5.615 Å, b = 5.615 Å, c = 5.615 Å
α = 60.00°, β = 60.00°, γ = 60.00°
Fractional positions:
La  0.000  0.000  0.000
Tb  0.750  0.750  0.750
Th  0.500  0.500  0.500
Sc  0.250  0.250  0.250

Values from the calculation:
- Calculated volume: 125.2 Å³/f.u.
- Magnetization: 0.00 μB/cell

---

ii) A plane-wave DFT calculation with PBE was carried out for LaTbThSc after structural relaxation.

a = 3.592 Å, b = 3.592 Å, c = 9.701 Å
α = 90.00°, β = 90.00°, γ = 90.00°
Fractional positions:
La  0.000  0.000  0.000
Tb  0.500  0.500  0.725
Th  0.000  0.000  0.476
Sc  0.500  0.500  0.249

Values from the calculation:
- Calculated volume: 125.2 Å³/f.u.
- Magnetization: 0.00 μB/cell

---

Which of them is the least stable? Correct choice: i).